# 1
The following is a PBE calculation of a relaxed structure of TbPaGe6, from Alexandria via LeMat-Bulk.

Results
Energy of formation   -0.41 eV/atom
Uncorrected energy   -5.641 eV/atom
Calculated density   8.646 g cm⁻³

The structure in POSCAR format:
```
TbPaGe6
1.0
4.292 0.000 0.000
0.000 4.292 0.000
0.000 0.000 8.609
Tb Pa Ge
1 1 6
Direct
0.000 0.000 0.000 Tb
0.000 0.000 0.500 Pa
0.000 0.500 0.252 Ge
0.000 0.500 0.748 Ge
0.500 0.000 0.252 Ge
0.500 0.000 0.748 Ge
0.500 0.500 0.000 Ge
0.500 0.500 0.500 Ge
```

=====

# 2
The following is a PBE calculation of a relaxed structure of Na12Cd6Pd, from Alexandria via LeMat-Bulk.

Results
Energy of formation   -0.10 eV/atom
Uncorrected energy   -1.494 eV/atom
Calculated density   3.334 g cm⁻³

The structure in POSCAR format:
```
Na12Cd6Pd
1.0
5.595 3.230 4.854
-5.595 3.230 4.854
0.000 -6.461 4.854
Na Cd Pd
12 6 1
Direct
0.025 0.929 0.309 Na
0.071 0.691 0.975 Na
0.130 0.468 0.354 Na
0.309 0.025 0.929 Na
0.354 0.130 0.468 Na
0.468 0.354 0.130 Na
0.532 0.646 0.870 Na
0.646 0.870 0.532 Na
0.691 0.975 0.071 Na
0.870 0.532 0.646 Na
0.929 0.309 0.025 Na
0.975 0.071 0.691 Na
0.250 0.749 0.603 Cd
0.251 0.397 0.750 Cd
0.397 0.750 0.251 Cd
0.603 0.250 0.749 Cd
0.749 0.603 0.250 Cd
0.750 0.251 0.397 Cd
0.500 0.500 0.500 Pd
```